Material: Dy2ErI
Method: DFT, PBE
State: optimized geometry

The value obtained for the total energy is -3.82 eV per atom. The raw formation energy is 0.00 eV/atom.

The space group is R-3m (No. 166, hexagonal axes) and the conventional cell measures 3.5826, 3.5826 and 35.0999 Å, with angles of 90.00, 90.00 and 120.00 degrees. The distinct sites, in fractional coordinates, are Dy at (0.0000, 0.0000, 0.0954), Er at (0.0000, 0.0000, 0.0000) and I at (0.0000, 0.0000, 0.5000).